Entry 1:
DFT (PBE) results for a relaxed ZrNbOs4 crystal.

Summary:
ΔH_f (0 K): -0.1554 eV per atom

Unit cell a=5.2041 b=5.2041 c=5.2041 alpha=60.00 beta=60.00 gamma=60.00
Fractional coordinates of all 6 atoms:
Nb: 0.2500 0.2500 0.2500
Os: 0.6253 0.6253 0.1241
Os: 0.6253 0.1241 0.6253
Os: 0.6253 0.6253 0.6253
Os: 0.1241 0.6253 0.6253
Zr: 0.0000 0.0000 0.0000



Entry 2:
DFT (PBE) results for a relaxed CsNp3 crystal.

Summary:
Offset from the most stable computed form: 0.000 eV/atom
ΔH_f (0 K): 1.5887 eV per atom

Unit cell a=5.4390 b=5.4390 c=5.4390 alpha=60.00 beta=60.00 gamma=60.00
Site moments in Bohr magnetons follow the coordinates.
Fractional coordinates of all 4 atoms:
Cs: 0.7500 0.7500 0.7500  0.09
Np: 0.0000 0.0000 0.0000  4.29
Np: 0.5000 0.5000 0.5000  4.29
Np: 0.2500 0.2500 0.2500  4.42



Entry 3:
DFT (PBE) results for a relaxed PrURh3 crystal.

Summary:
ΔH_f (0 K): -0.4653 eV per atom

Unit cell a=6.3068 b=6.2942 c=6.2930 alpha=120.00 beta=90.00 gamma=90.00
Site moments in Bohr magnetons follow the coordinates.
Fractional coordinates of all 10 atoms:
Pr: 0.7493 0.6668 0.3334  0.02
Pr: 0.2507 0.3332 0.6666  0.02
U: 0.0000 0.0000 0.0000  0.52
U: 0.5000 0.0000 0.0000  0.52
Rh: 0.7501 0.6200 0.8100  -0.03
Rh: 0.2499 0.8099 0.6199  -0.03
Rh: 0.2499 0.3801 0.1900  -0.03
Rh: 0.7501 0.1901 0.3801  -0.03
Rh: 0.2499 0.8099 0.1899  -0.03
Rh: 0.7502 0.1901 0.8101  -0.03



Entry 4:
DFT (PBE) results for a relaxed GeSb2Mo crystal.

Summary:
Offset from the most stable computed form: 0.269 eV/atom
Formation energy without anion corrections: 3.047 eV/f.u.

Unit cell a=3.0326 b=3.0326 c=11.5319 alpha=82.44 beta=82.44 gamma=60.00
Fractional coordinates of all 4 atoms:
Sb: 0.0824 0.0824 0.7527
Sb: 0.9176 0.9176 0.2473
Mo: 0.0000 0.0000 0.0000
Ge: 0.5000 0.5000 0.5000



One value per record, in order, for E: -64.469, -33.321, -40.449, -20.647 eV/f.u..